Entry from the Alexandria database: crystalline LiMnAsPt at its relaxed geometry (PBE-GGA).

Calculated values
**Total magnetization**: 0.9225 μB/atom
**Formation enthalpy at 0 K**: -0.3316 eV per atom
**Calculated volume**: 14.7 A^3/atom
**Energy**: -92.4 eV per cell

a b c (Å): 6.1705 6.1705 6.1705
angles (deg): 90.00 90.00 90.00
Space group F-43m (No. 216)
One atom of each set of equivalent atoms:
Li: 0.0000 0.0000 0.0000 x4
Mn: 0.0000 0.0000 0.5000 x4
As: 0.2500 0.2500 0.2500 x4
Pt: 0.2500 0.2500 0.7500 x4